# 1
GGA-PBE TcSe2Cl, relaxed; formation energy without anion corrections = 620.7 meV/atom; total DFT energy (no corrections) = -4.175 eV per atom; energy above the lowest structure with this stoichiometry = 840.8 meV per atom; spin magnetization = 4.433 μB/cell; crystal system = tetragonal; space group = No. 123
1.0
6.1561 0.0000 0.0000
0.0000 3.8091 0.0000
0.0000 0.0000 3.8091
Cl Tc Se
1 1 2
Direct
0.5000 0.0000 0.5000
0.5000 0.5000 0.0000
0.0000 0.5000 0.5000
0.0000 0.0000 0.0000

---

# 2
GGA-PBE K2CoAs, relaxed; total DFT energy (no corrections) = -2.863 eV per atom; spin magnetization = 2.123 μB/cell; ΔH_f (0 K) = 0.624 eV/atom; crystal system = tetragonal; space group = No. 123
1.0
-4.3511 0.4204 4.3843
4.3008 -0.9228 4.3568
0.4471 2.8762 0.1679
Co K As
1 2 1
Direct
0.0000 0.5000 0.5000
0.0000 0.0000 0.0000
0.5000 0.5000 0.0000
0.5000 0.0000 0.5000

---

# 3
GGA-PBE ScFe2Rh, relaxed; total DFT energy (no corrections) = -7.895 eV per atom; spin magnetization = 4.810 μB/cell; ΔH_f (0 K) = -0.243 eV/atom; crystal system = tetragonal; space group = No. 99
1.0
3.0651 0.0000 0.0000
0.0000 3.0651 0.0000
0.0000 0.0000 6.1154
Fe Sc Rh
2 1 1
Direct
0.5000 0.5000 0.2310
0.0000 0.0000 0.0301
0.5000 0.5000 0.7549
0.0000 0.0000 0.4841